Entry 1:
Below is a relaxed structure of NaHf2IrPt, with properties calculated at the PBE-GGA level.

## Properties
formation energy: 1473.3 meV per atom
symmetry: P4/mmm, No. 123
Fermi-level density of states: 0.8792 states/eV/atom
crystal system: tetragonal

Cell lengths 4.7252, 4.4479, 4.7252 Å; angles 90.00, 90.00, 90.00 degrees
Positions (direct):
Na: 0.0000 0.0000 0.0000
Ir: 0.0000 0.5000 0.0000
Hf: 0.0000 0.0000 0.5000
Hf: 0.5000 0.0000 0.0000
Pt: 0.5000 0.5000 0.5000

Entry 2:
Below is a relaxed structure of CuAg2Rh, with properties calculated at the PBE-GGA level.

## Properties
formation energy: 233.8 meV per atom
symmetry: F-43m, No. 216
Fermi-level density of states: 0.5977 states/eV/atom
polymorph energy (0 for the lowest one): 0.088 eV per atom
crystal system: cubic

Cell lengths 4.4573, 4.4573, 4.4573 Å; angles 60.00, 60.00, 60.00 degrees
Positions (direct):
Ag: 0.0000 0.0000 0.0000
Ag: 0.2500 0.2500 0.2500
Cu: 0.5000 0.5000 0.5000
Rh: 0.7500 0.7500 0.7500

Entry 3:
Below is a relaxed structure of Nb6TlS12, with properties calculated at the PBE-GGA level.

## Properties
energy relative to the elements, uncorrected: -0.60 eV per atom
symmetry: R-3m, No. 166
Fermi-level density of states: 0.6897 states/eV/atom
crystal system: trigonal

Cell lengths 7.5405, 7.5405, 7.5405 Å; angles 104.20, 104.20, 104.20 degrees
Site moments in Bohr magnetons follow the coordinates.
Positions (direct):
Nb: 0.6350 0.2468 0.2468  0.36
Nb: 0.2468 0.2468 0.6350  0.36
Nb: 0.2468 0.6350 0.2468  0.36
Nb: 0.7532 0.7532 0.3650  0.36
Nb: 0.3650 0.7532 0.7532  0.36
Nb: 0.7532 0.3650 0.7532  0.36
Tl: 0.0000 0.0000 0.0000  0.00
S: 0.8740 0.1260 0.5000  -0.01
S: 0.8242 0.5428 0.5428  -0.03
S: 0.5428 0.5428 0.8242  -0.03
S: 0.4572 0.1758 0.4572  -0.03
S: 0.4572 0.4572 0.1758  -0.03
S: 0.1758 0.4572 0.4572  -0.03
S: 0.1260 0.5000 0.8740  -0.01
S: 0.5000 0.8740 0.1260  -0.01
S: 0.1260 0.8740 0.5000  -0.01
S: 0.8740 0.5000 0.1260  -0.01
S: 0.5000 0.1260 0.8740  -0.01
S: 0.5428 0.8242 0.5428  -0.03

Entry 4:
Below is a relaxed structure of ScMnSi2, with properties calculated at the PBE-GGA level.

## Properties
energy relative to the elements, uncorrected: 0.03 eV per atom
symmetry: F-43m, No. 216
Fermi-level density of states: 0.8928 states/eV/atom
crystal system: cubic

Cell lengths 4.2602, 4.2602, 4.2602 Å; angles 60.00, 60.00, 60.00 degrees
Positions (direct):
Mn: 0.5000 0.5000 0.5000
Sc: 0.2500 0.2500 0.2500
Si: 0.0000 0.0000 0.0000
Si: 0.7500 0.7500 0.7500